Record 1
VASP calculation (PBE) on a geometry-optimized LaGa2CoGe structure.

space-group type = P4/mmm
energy = -4.923 eV/atom
energy relative to the elements = -0.38 eV/atom

Cell lengths 4.6103, 4.6103, 4.6507 Å; angles 90.00, 90.00, 90.00 degrees
Last column: nearest neighbours and their distance in Å.
Fractional positions:
Ge: 0.0000 0.0000 0.5000  2 Co 2.33
Co: 0.0000 0.0000 0.0000  4 Ga 2.31, 2 Ge 2.33
Ga: 0.0000 0.5000 0.0000  2 Co 2.31
Ga: 0.5000 0.0000 0.0000  2 Co 2.31
La: 0.5000 0.5000 0.5000  4 Ge 3.26, 8 Ga 3.27

Record 2
VASP calculation (PBE) on a geometry-optimized La2Ga2CoGe4 structure.

space-group type = I4/mmm
energy = -5.119 eV/atom
energy relative to the elements = -0.51 eV/atom

Cell lengths 6.3005, 6.3005, 6.3005 Å; angles 91.65, 119.05, 119.05 degrees
Last column: nearest neighbours and their distance in Å.
Fractional positions:
La: 0.5000 0.7500 0.2500  8 Ge 3.16, 4 Ga 3.21
La: 0.5000 0.2500 0.7500  8 Ge 3.16, 4 Ga 3.21
Ga: 0.0000 0.7173 0.7173  1 Co 2.48
Ga: 0.0000 0.2827 0.2827  1 Co 2.48
Co: 0.0000 0.0000 0.0000  4 Ge 2.46, 2 Ga 2.48
Ge: 0.0000 0.7274 0.2726  1 Co 2.46
Ge: 0.4549 0.7274 0.7274  1 Co 2.46
Ge: 0.0000 0.2726 0.7274  1 Co 2.46
Ge: 0.5451 0.2726 0.2726  1 Co 2.46

Record 3
VASP calculation (PBE) on a geometry-optimized LaGa2Co2Ge structure.

space-group type = P4/mmm
energy = -5.223 eV/atom
energy relative to the elements = -0.25 eV/atom

Cell lengths 4.3761, 4.3761, 5.7887 Å; angles 90.00, 90.00, 90.00 degrees
Last column: nearest neighbours and their distance in Å.
Fractional positions:
La: 0.0000 0.0000 0.5000  2 Ge 2.89
Ga: 0.5000 0.5000 0.7514  4 Co 2.62, 2 Ga 2.88-2.91
Ga: 0.5000 0.5000 0.2486  4 Co 2.62, 2 Ga 2.88-2.91
Co: 0.5000 0.0000 0.0000  2 Ge 2.19
Co: 0.0000 0.5000 0.0000  2 Ge 2.19
Ge: 0.0000 0.0000 0.0000  4 Co 2.19

Question: The highest energy belongs to which entry?
Answer: LaGa2CoGe